No. 1
A geometry-optimized CaSc2Ir structure, computed with PBE.

```
CaSc2Ir
1.0
-0.450 5.028 3.140
-3.081 2.952 4.140
1.955 -0.100 4.938
Sc Ca Ir
2 1 1
Direct
0.945 0.945 0.055
0.555 0.555 0.445
0.750 0.750 0.750
0.250 0.250 0.250
```

Properties
Formation enthalpy at 0 K ... -1.55 eV/f.u.
Space-group type ... Immm, No. 71
Fermi-level density of states ... 3.5 states/eV/cell

No. 2
A geometry-optimized Nd2TmZn2 structure, computed with PBE.

```
Nd2TmZn2
1.0
-1.541 1.349 -2.888
-3.216 -0.055 1.691
0.075 9.398 4.350
Nd Tm Zn
2 1 2
Direct
0.000 0.173 0.653
0.000 0.827 0.347
0.000 0.000 0.000
0.500 0.420 0.159
0.500 0.580 0.841
```

Properties
Formation enthalpy at 0 K ... -0.99 eV/f.u.
Polymorph energy (0 for the lowest one) ... 0 meV/atom
Space-group type ... Cmmm, No. 65
Fermi-level density of states ... 6.0 states/eV/cell

No. 3
A geometry-optimized Cs3SeO structure, computed with PBE.

```
Cs3SeO
1.0
5.798 0.000 0.000
0.000 5.798 0.000
0.000 0.000 5.798
Cs O Se
3 1 1
Direct
0.000 0.500 0.000
0.000 0.000 0.500
0.500 0.000 0.000
0.000 0.000 0.000
0.500 0.500 0.500
```

Properties
Polymorph energy (0 for the lowest one) ... 0 meV/atom
Space-group type ... Pm-3m, No. 221
Fermi-level density of states ... 11.1 states/eV/cell
E_form (uncorrected) ... -0.892 eV per atom

No. 4
A geometry-optimized BeZnCl4 structure, computed with PBE.

```
BeZnCl4
1.0
0.000 4.218 4.218
4.218 0.000 4.218
4.218 4.218 0.000
Be Zn Cl
1 1 4
Direct
0.000 0.000 0.000
0.750 0.750 0.750
0.876 0.375 0.375
0.375 0.375 0.876
0.375 0.876 0.375
0.375 0.375 0.375
```

Properties
Polymorph energy (0 for the lowest one) ... 1894 meV/atom
Space-group type ... F-43m, No. 216
Fermi-level density of states ... 5.1 states/eV/cell
E_form (uncorrected) ... 0.909 eV per atom

No. 5
A geometry-optimized Li3Ga2Ag7 structure, computed with PBE.

```
Li3Ga2Ag7
1.0
-0.494 -0.330 3.008
1.064 -4.451 -0.313
13.971 5.374 2.885
Li Ga Ag
3 2 7
Direct
0.500 0.500 0.000
0.000 0.183 0.367
0.000 0.817 0.633
0.500 0.638 0.283
0.500 0.362 0.717
0.500 0.727 0.451
0.500 0.273 0.549
0.000 0.568 0.135
0.000 0.000 0.000
0.000 0.432 0.865
0.500 0.908 0.815
0.500 0.092 0.185
```

Properties
Formation enthalpy at 0 K ... -0.90 eV/f.u.
Space-group type ... P2/m, No. 10
Fermi-level density of states ... 4.5 states/eV/cell

No. 6
A geometry-optimized PmYInAu structure, computed with PBE.

```
PmYInAu
1.0
-0.436 -1.007 5.183
1.785 -4.583 1.968
4.324 -0.064 3.059
Y In Au Pm
1 1 1 1
Direct
0.000 0.000 0.000
0.250 0.250 0.250
0.750 0.750 0.750
0.500 0.500 0.500
```

Properties
Formation enthalpy at 0 K ... -2.42 eV/f.u.
Polymorph energy (0 for the lowest one) ... 62 meV/atom
Space-group type ... F-43m, No. 216
Fermi-level density of states ... 4.0 states/eV/cell

No. 7
A geometry-optimized BaRe4Pt structure, computed with PBE.

```
BaRe4Pt
1.0
0.000 3.833 3.833
3.833 0.000 3.833
3.833 3.833 0.000
Ba Re Pt
1 4 1
Direct
0.750 0.750 0.750
0.882 0.373 0.373
0.373 0.373 0.882
0.373 0.882 0.373
0.373 0.373 0.373
0.000 0.000 0.000
```

Properties
Formation enthalpy at 0 K ... 5.54 eV/f.u.
Space-group type ... F-43m, No. 216
Fermi-level density of states ... 9.0 states/eV/cell

No. 8
A geometry-optimized Ba2Sr2Pd structure, computed with PBE.

```
Ba2Sr2Pd
1.0
5.551 0.000 -0.631
-0.072 5.551 -0.631
-1.102 -1.116 15.035
Ba Sr Pd
4 4 2
Direct
0.934 0.434 0.868
0.684 0.684 0.368
0.316 0.316 0.632
0.566 0.066 0.132
0.813 0.813 0.626
0.063 0.563 0.126
0.437 0.937 0.874
0.187 0.187 0.374
0.500 0.500 0.000
0.750 0.250 0.500
```

Properties
Formation enthalpy at 0 K ... -0.94 eV/f.u.
Polymorph energy (0 for the lowest one) ... 72 meV/atom
Space-group type ... I4_1/amd, No. 141
Fermi-level density of states ... 10.3 states/eV/cell